# 1
# Tb2Cu5Ni4

An optimized crystal structure of Tb2Cu5Ni4 (PBE-GGA, the Alexandria database).

Calculated values
Calculated volume   15.12 Å³ per atom
D(E_F)   17.614 states/eV per cell
Calculated total energy   -219.790 eV for the cell shown

Geometry as CIF:
```
data_Tb2Cu5Ni4
_cell_length_a 4.962
_cell_length_b 8.437
_cell_length_c 15.888
_cell_angle_alpha 90.00
_cell_angle_beta 90.00
_cell_angle_gamma 90.00
_symmetry_space_group_name_H-M 'F m m m'
_symmetry_Int_Tables_number 69
_symmetry_space_group_name_Hall '-F 2 2'
loop_
_atom_site_label
_atom_site_type_symbol
_atom_site_fract_x
_atom_site_fract_y
_atom_site_fract_z
_atom_site_occupancy
Tb1 Tb 0.000 0.000 0.135 1
Cu1 Cu 0.000 0.000 0.500 1
Cu2 Cu 0.250 0.250 0.000 1
Cu3 Cu 0.250 0.250 0.250 1
Ni1 Ni 0.000 0.161 0.373 1
```


# 2
# Tb2Cu2Ni3

An optimized crystal structure of Tb2Cu2Ni3 (PBE-GGA, the Alexandria database).

Calculated values
Calculated volume   16.20 Å³ per atom
D(E_F)   7.702 states/eV per cell
Calculated total energy   -73.611 eV for the cell shown

Geometry as CIF:
```
data_Tb2Cu2Ni3
_cell_length_a 9.590
_cell_length_b 4.086
_cell_length_c 6.317
_cell_angle_alpha 90.00
_cell_angle_beta 113.64
_cell_angle_gamma 90.00
_symmetry_space_group_name_H-M 'C 1 2/m 1'
_symmetry_Int_Tables_number 12
loop_
_symmetry_equiv_pos_as_xyz
'x,y,z'
'-x,-y,-z'
'-x,y,-z'
'x,-y,z'
'x+1/2,y+1/2,z'
'-x+1/2,-y+1/2,-z'
'-x+1/2,y+1/2,-z'
'x+1/2,-y+1/2,z'
loop_
_atom_site_label
_atom_site_type_symbol
_atom_site_fract_x
_atom_site_fract_y
_atom_site_fract_z
_atom_site_occupancy
Tb1 Tb 0.152 0.000 0.253 1
Cu1 Cu 0.131 0.000 0.717 1
Ni1 Ni 0.000 0.500 0.500 1
Ni2 Ni 0.105 0.500 0.928 1
```


# 3
# TbCu3Ni8

An optimized crystal structure of TbCu3Ni8 (PBE-GGA, the Alexandria database).

Calculated values
Calculated volume   12.73 Å³ per atom
D(E_F)   11.302 states/eV per cell
Calculated total energy   -63.650 eV for the cell shown

Geometry as CIF:
```
data_TbCu3Ni8
_cell_length_a 4.7621
_cell_length_b 4.7621
_cell_length_c 7.7781
_cell_angle_alpha 90.00
_cell_angle_beta 90.00
_cell_angle_gamma 120.00
_symmetry_space_group_name_H-M 'P 3 m 1'
_symmetry_Int_Tables_number 156
loop_
_symmetry_equiv_pos_as_xyz
'x,y,z'
'-y,x-y,z'
'-x+y,-x,z'
'-y,-x,z'
'-x+y,y,z'
'x,x-y,z'
loop_
_atom_site_label
_atom_site_type_symbol
_atom_site_fract_x
_atom_site_fract_y
_atom_site_fract_z
_atom_site_occupancy
Tb1 Tb 0.0000 0.0000 0.0000 1
Cu1 Cu 0.0000 0.0000 0.3899 1
Cu2 Cu 0.6667 0.3333 0.4942 1
Cu3 Cu 0.6667 0.3333 0.8316 1
Ni1 Ni 0.1646 0.3292 0.6761 1
Ni2 Ni 0.3333 0.6667 0.4330 1
Ni3 Ni 0.3333 0.6667 0.9317 1
Ni4 Ni 0.5035 0.0070 0.1956 1
```


# 4
# Tb2Cu15Ni2

An optimized crystal structure of Tb2Cu15Ni2 (PBE-GGA, the Alexandria database).

Calculated values
Calculated volume   13.71 Å³ per atom
D(E_F)   32.149 states/eV per cell
Calculated total energy   -253.721 eV for the cell shown

Geometry as CIF:
```
data_Tb2Cu15Ni2
_cell_length_a 8.5157
_cell_length_b 8.5157
_cell_length_c 12.4407
_cell_angle_alpha 90.00
_cell_angle_beta 90.00
_cell_angle_gamma 120.00
_symmetry_space_group_name_H-M 'R -3 m'
_symmetry_Int_Tables_number 166
_symmetry_space_group_name_Hall '-R 3 2"'
loop_
_atom_site_label
_atom_site_type_symbol
_atom_site_fract_x
_atom_site_fract_y
_atom_site_fract_z
_atom_site_occupancy
Tb1 Tb 0.0000 0.0000 0.1661 1
Cu1 Cu 0.0000 0.2921 0.5000 1
Cu2 Cu 0.0000 0.5000 0.0000 1
Cu3 Cu 0.0003 0.5002 0.3471 1
Ni1 Ni 0.0000 0.0000 0.4021 1
```


# 5
# TbCuNi3

An optimized crystal structure of TbCuNi3 (PBE-GGA, the Alexandria database).

Calculated values
Calculated volume   16.46 Å³ per atom
D(E_F)   20.830 states/eV per cell
Calculated total energy   -102.338 eV for the cell shown

Geometry as CIF:
```
data_TbCuNi3
_cell_length_a 4.533
_cell_length_b 16.297
_cell_length_c 4.455
_cell_angle_alpha 90.00
_cell_angle_beta 90.00
_cell_angle_gamma 90.00
_symmetry_space_group_name_H-M 'C m c m'
_symmetry_Int_Tables_number 63
_symmetry_space_group_name_Hall '-C 2c 2'
loop_
_atom_site_label
_atom_site_type_symbol
_atom_site_fract_x
_atom_site_fract_y
_atom_site_fract_z
_atom_site_occupancy
Tb1 Tb 0.000 0.089 0.250 1
Cu1 Cu 0.000 0.366 0.250 1
Ni1 Ni 0.000 0.500 0.000 1
Ni2 Ni 0.241 0.266 0.750 1
```


# 6
# TbCuNi2

An optimized crystal structure of TbCuNi2 (PBE-GGA, the Alexandria database).

Calculated values
Calculated volume   14.91 Å³ per atom
D(E_F)   16.632 states/eV per cell
Calculated total energy   -195.764 eV for the cell shown

Geometry as CIF:
```
data_TbCuNi2
_cell_length_a 5.0441
_cell_length_b 5.0441
_cell_length_c 24.3655
_cell_angle_alpha 90.00
_cell_angle_beta 90.00
_cell_angle_gamma 120.00
_symmetry_space_group_name_H-M 'R -3 m'
_symmetry_Int_Tables_number 166
_symmetry_space_group_name_Hall '-R 3 2"'
loop_
_atom_site_label
_atom_site_type_symbol
_atom_site_fract_x
_atom_site_fract_y
_atom_site_fract_z
_atom_site_occupancy
Tb1 Tb 0.0000 0.0000 0.0000 1
Tb2 Tb 0.0000 0.0000 0.1376 1
Cu1 Cu 0.0000 0.0000 0.3336 1
Cu2 Cu 0.0000 0.0000 0.5000 1
Ni1 Ni 0.0031 0.5015 0.9172 1
```


| no. | ρ (Mg/m³) |
| --- | --- |
| 1 | 8.69 |
| 2 | 9.10 |
| 3 | 8.90 |
| 4 | 8.85 |
| 5 | 8.04 |
| 6 | 9.46 |